This record from Alexandria describes crystalline LiPuPb2O5 at its relaxed geometry. The functional is PBE.

Values from the calculation:
The value obtained for the uncorrected formation energy is -16.81 eV per formula unit.

The structure in CIF format:
```
data_LiPuPb2O5
_chemical_formula_sum 'Li4 Pu4 Pb8 O20'
_symmetry_space_group_name_H-M 'C m c 21'
_symmetry_Int_Tables_number 36
_cell_length_a 3.4456
_cell_length_b 14.4236
_cell_length_c 11.5109
_cell_angle_alpha 90.00
_cell_angle_beta 90.00
_cell_angle_gamma 90.00
loop_
_symmetry_equiv_pos_as_xyz
'x,y,z'
'-x,-y,z+1/2'
'-x,y,z'
'x,-y,z+1/2'
'x+1/2,y+1/2,z'
'-x+1/2,-y+1/2,z+1/2'
'-x+1/2,y+1/2,z'
'x+1/2,-y+1/2,z+1/2'
loop_
_atom_site_label
_atom_site_type_symbol
_atom_site_fract_x
_atom_site_fract_y
_atom_site_fract_z
Li1 Li 0.0000 0.0443 0.0000
Pu1 Pu 0.0000 0.2985 0.5920
Pb1 Pb 0.0000 0.3575 0.8941
Pb2 Pb 0.0000 0.4372 0.2381
O1 O 0.0000 0.0108 0.3449
O2 O 0.0000 0.1566 0.5500
O3 O 0.0000 0.1870 0.9760
O4 O 0.0000 0.2156 0.2066
O5 O 0.0000 0.4436 0.5969
```

---

This record from Alexandria describes crystalline LiPuPbO6 at its relaxed geometry. The functional is PBE.

Values from the calculation:
The value obtained for the uncorrected formation energy is -15.20 eV per formula unit.

The structure in CIF format:
```
data_LiPuPbO6
_chemical_formula_sum 'Li2 Pu2 Pb2 O12'
_symmetry_space_group_name_H-M 'P 42 n m'
_symmetry_Int_Tables_number 102
_cell_length_a 5.0042
_cell_length_b 5.0042
_cell_length_c 9.6598
_cell_angle_alpha 90.00
_cell_angle_beta 90.00
_cell_angle_gamma 90.00
loop_
_symmetry_equiv_pos_as_xyz
'x,y,z'
'-y+1/2,x+1/2,z+1/2'
'-x,-y,z'
'y+1/2,-x+1/2,z+1/2'
'-x+1/2,y+1/2,z+1/2'
'y,x,z'
'x+1/2,-y+1/2,z+1/2'
'-y,-x,z'
loop_
_atom_site_label
_atom_site_type_symbol
_atom_site_fract_x
_atom_site_fract_y
_atom_site_fract_z
Li1 Li 0.0000 0.0000 0.0000
Pu1 Pu 0.0000 0.0000 0.3312
Pb1 Pb 0.0000 0.0000 0.6697
O1 O 0.1869 0.1869 0.1755
O2 O 0.1922 0.1922 0.4861
O3 O 0.2114 0.2114 0.8327
```